This record from the Alexandria database describes a geometry-optimized Pu2Ga5PdRu2 structure. The functional is PBE.

Cell: 3.0469 10.7686 10.7686 Å, 90.00 90.00 90.00°
Closest atoms and distances in Å follow each position.
Element x y z (fractional)
Pu 0.0000 0.6845 0.1845  1 Ru 2.78, 2 Pu 3.05
Pu 0.0000 0.3155 0.8155  1 Ru 2.78, 2 Pu 3.05
Pu 0.0000 0.1845 0.3155  1 Ru 2.78, 2 Pu 3.05
Pu 0.0000 0.8155 0.6845  1 Ru 2.78, 2 Pu 3.05
Ga 0.5000 0.1941 0.0489  2 Ru 2.57, 2 Pd 2.64
Ga 0.5000 0.8059 0.9511  2 Ru 2.57, 2 Pd 2.64
Ga 0.5000 0.0489 0.8059  2 Ru 2.57, 2 Pd 2.64
Ga 0.5000 0.6941 0.4511  2 Ru 2.57, 2 Pd 2.64
Ga 0.5000 0.9511 0.1941  2 Ru 2.57, 2 Pd 2.64
Ga 0.5000 0.3059 0.5489  2 Ru 2.57, 2 Pd 2.64
Ga 0.5000 0.5489 0.6941  2 Ru 2.57, 2 Pd 2.64
Ga 0.5000 0.4511 0.3059  2 Ru 2.57, 2 Pd 2.64
Ga 0.5000 0.5000 0.0000  4 Ru 2.53
Ga 0.5000 0.0000 0.5000  4 Ru 2.53
Pd 0.0000 0.0000 0.0000  8 Ga 2.64
Pd 0.0000 0.5000 0.5000  8 Ga 2.64
Ru 0.0000 0.1329 0.6329  6 Ga 2.53-2.57, 1 Pu 2.78
Ru 0.0000 0.8671 0.3671  6 Ga 2.53-2.57, 1 Pu 2.78
Ru 0.0000 0.6329 0.8671  6 Ga 2.53-2.57, 1 Pu 2.78
Ru 0.0000 0.3671 0.1329  6 Ga 2.53-2.57, 1 Pu 2.78

## Properties
Energy of formation from the pure elements ... -36.5 kJ per mole of atoms